Record 1
# TmCuSnIr, relaxed, DFT PBE-GGA
data_TmCuSnIr
_cell_length_a 6.6326
_cell_length_b 6.6326
_cell_length_c 6.6326
_cell_angle_alpha 90.00
_cell_angle_beta 90.00
_cell_angle_gamma 90.00
_space_group_name_H-M_alt 'F -4 3 m'
_space_group_IT_number 216
_space_group_name_Hall 'F -4 2 3'
loop_
_atom_site_label
_atom_site_type_symbol
_atom_site_fract_x
_atom_site_fract_y
_atom_site_fract_z
_atom_site_occupancy
Tm1 Tm 0.0000 0.0000 0.0000 1
Cu1 Cu 0.2500 0.2500 0.2500 1
Sn1 Sn 0.0000 0.0000 0.5000 1
Ir1 Ir 0.2500 0.2500 0.7500 1
# * energy of formation: -479 meV/atom

=====

Record 2
# ZnSiSe2, relaxed, DFT PBE-GGA
data_ZnSiSe2
_cell_length_a 3.1839
_cell_length_b 4.5719
_cell_length_c 5.2235
_cell_angle_alpha 90.00
_cell_angle_beta 90.00
_cell_angle_gamma 90.00
_space_group_name_H-M_alt 'P m m m'
_space_group_IT_number 47
loop_
_space_group_symop_operation_xyz
'x,y,z'
'-x,-y,-z'
'-x,-y,z'
'x,y,-z'
'x,-y,-z'
'-x,y,z'
'-x,y,-z'
'x,-y,z'
loop_
_atom_site_label
_atom_site_type_symbol
_atom_site_fract_x
_atom_site_fract_y
_atom_site_fract_z
_atom_site_occupancy
Zn1 Zn 0.0000 0.0000 0.0000 1
Si1 Si 0.5000 0.5000 0.0000 1
Se1 Se 0.0000 0.5000 0.5000 1
Se2 Se 0.5000 0.0000 0.5000 1
# * formation energy (no corrections): 0.433 eV per atom

=====

Record 3
# YZrSi2, relaxed, DFT PBE-GGA
data_YZrSi2
_cell_length_a 5.1322
_cell_length_b 5.1322
_cell_length_c 3.0598
_cell_angle_alpha 90.00
_cell_angle_beta 90.00
_cell_angle_gamma 90.00
_space_group_name_H-M_alt 'P 4 m m'
_space_group_IT_number 99
loop_
_space_group_symop_operation_xyz
'x,y,z'
'-y,x,z'
'-x,-y,z'
'y,-x,z'
'-x,y,z'
'y,x,z'
'x,-y,z'
'-y,-x,z'
loop_
_atom_site_label
_atom_site_type_symbol
_atom_site_fract_x
_atom_site_fract_y
_atom_site_fract_z
_atom_site_occupancy
Y1 Y 0.0000 0.0000 0.0000 1
Zr1 Zr 0.5000 0.5000 0.2649 1
Si1 Si 0.0000 0.5000 0.5680 1
# * ΔE to the lowest computed polymorph: 0.3903 eV per atom
# * formation energy (no corrections): -0.447 eV per atom

=====

Record 4
# Bi12PbAu7, relaxed, DFT PBE-GGA
data_Bi12PbAu7
_cell_length_a 15.5866
_cell_length_b 15.5866
_cell_length_c 8.0248
_cell_angle_alpha 90.00
_cell_angle_beta 90.00
_cell_angle_gamma 120.00
_space_group_name_H-M_alt 'R -3'
_space_group_IT_number 148
_space_group_name_Hall '-R 3'
loop_
_atom_site_label
_atom_site_type_symbol
_atom_site_fract_x
_atom_site_fract_y
_atom_site_fract_z
_atom_site_occupancy
Bi1 Bi 0.0509 0.2713 0.4753 1
Bi2 Bi 0.0662 0.8486 0.8686 1
Pb1 Pb 0.0000 0.0000 0.5000 1
Au1 Au 0.0000 0.0000 0.0000 1
Au2 Au 0.0501 0.8736 0.2519 1
# * energy of formation: 4 meV/atom

=====

Record 5
# Ti2TcSb, relaxed, DFT PBE-GGA
data_Ti2TcSb
_cell_length_a 3.4152
_cell_length_b 3.4152
_cell_length_c 5.8366
_cell_angle_alpha 90.00
_cell_angle_beta 90.00
_cell_angle_gamma 90.00
_space_group_name_H-M_alt 'P 4/m m m'
_space_group_IT_number 123
_space_group_name_Hall '-P 4 2'
loop_
_atom_site_label
_atom_site_type_symbol
_atom_site_fract_x
_atom_site_fract_y
_atom_site_fract_z
_atom_site_occupancy
Ti1 Ti 0.0000 0.0000 0.2367 1
Tc1 Tc 0.5000 0.5000 0.0000 1
Sb1 Sb 0.5000 0.5000 0.5000 1
# * formation energy (no corrections): -0.358 eV per atom

=====

Record 6
# Ag2HgHPt, relaxed, DFT PBE-GGA
data_Ag2HgHPt
_cell_length_a 4.5433
_cell_length_b 4.5433
_cell_length_c 3.6767
_cell_angle_alpha 90.00
_cell_angle_beta 90.00
_cell_angle_gamma 90.00
_space_group_name_H-M_alt 'P 4/m m m'
_space_group_IT_number 123
_space_group_name_Hall '-P 4 2'
loop_
_atom_site_label
_atom_site_type_symbol
_atom_site_fract_x
_atom_site_fract_y
_atom_site_fract_z
_atom_site_occupancy
Ag1 Ag 0.0000 0.5000 0.0000 1
Hg1 Hg 0.0000 0.0000 0.5000 1
H1 H 0.5000 0.5000 0.0000 1
Pt1 Pt 0.5000 0.5000 0.5000 1
# * ΔE to the lowest computed polymorph: 0.0000 eV per atom

=====

Record 7
# KRb2NaCl4, relaxed, DFT PBE-GGA
data_KRb2NaCl4
_cell_length_a 12.7560
_cell_length_b 12.7437
_cell_length_c 9.0027
_cell_angle_alpha 90.00
_cell_angle_beta 134.84
_cell_angle_gamma 90.00
_space_group_name_H-M_alt 'C 1 2/c 1'
_space_group_IT_number 15
loop_
_space_group_symop_operation_xyz
'x,y,z'
'-x,-y,-z'
'-x,y,-z+1/2'
'x,-y,z+1/2'
'x+1/2,y+1/2,z'
'-x+1/2,-y+1/2,-z'
'-x+1/2,y+1/2,-z+1/2'
'x+1/2,-y+1/2,z+1/2'
loop_
_atom_site_label
_atom_site_type_symbol
_atom_site_fract_x
_atom_site_fract_y
_atom_site_fract_z
_atom_site_occupancy
K1 K 0.2500 0.2500 0.0000 1
Rb1 Rb 0.0000 0.0000 0.0000 1
Rb2 Rb 0.2500 0.2500 0.5000 1
Na1 Na 0.0000 0.5000 0.0000 1
Cl1 Cl 0.9998 0.2643 0.5082 1
Cl2 Cl 0.2265 0.4961 0.9770 1
# * formation energy (no corrections): -1.886 eV per atom

=====

Record 8
# LaGaPO2, relaxed, DFT PBE-GGA
data_LaGaPO2
_cell_length_a 4.1195
_cell_length_b 4.1195
_cell_length_c 4.6013
_cell_angle_alpha 90.00
_cell_angle_beta 90.00
_cell_angle_gamma 90.00
_space_group_name_H-M_alt 'P 4/m m m'
_space_group_IT_number 123
_space_group_name_Hall '-P 4 2'
loop_
_atom_site_label
_atom_site_type_symbol
_atom_site_fract_x
_atom_site_fract_y
_atom_site_fract_z
_atom_site_occupancy
La1 La 0.0000 0.0000 0.0000 1
Ga1 Ga 0.5000 0.5000 0.5000 1
P1 P 0.5000 0.5000 0.0000 1
O1 O 0.0000 0.5000 0.5000 1
# * ΔE to the lowest computed polymorph: 0.0000 eV per atom
# * formation energy (no corrections): -1.317 eV per atom